1.
ZrTaIr2: single point on PBEsol structure, meta-GGA SCAN.

DFT formation energy = -900.7 meV/atom
Electronic total energy = -243.08 eV per cell
Size of the total moment = 0.00 Bohr magnetons per cell
Density = 16.11 Mg/m³
Symmetry = Pm (6)

a = 3.058 Å, b = 4.368 Å, c = 5.295 Å
α = 90.00°, β = 106.89°, γ = 90.00°
Fractional coordinates of all 4 atoms:
Zr1 0.228 0.500 0.833
Ir1 0.969 0.500 0.311
Ir2 0.783 0.000 0.942
Ta1 0.520 0.000 0.413

2.
ZrTaIr2: single point on PBEsol structure, meta-GGA SCAN.

DFT formation energy = -789.5 meV/atom
Electronic total energy = -242.64 eV per cell
Size of the total moment = 0.00 Bohr magnetons per cell
Density = 16.65 Mg/m³
Symmetry = P4/mmm (123)

a = 3.745 Å, b = 4.182 Å, c = 4.182 Å
α = 90.00°, β = 90.00°, γ = 90.00°
Fractional coordinates of all 4 atoms:
Ta1 0.500 0.500 0.500
Ir1 0.000 0.500 0.000
Ir2 0.000 0.000 0.500
Zr1 0.500 0.000 0.000

3.
ZrTaIr2: single point on PBEsol structure, meta-GGA SCAN.

DFT formation energy = -848.5 meV/atom
Electronic total energy = -242.87 eV per cell
Size of the total moment = 0.00 Bohr magnetons per cell
Density = 16.60 Mg/m³
Symmetry = P4/mmm (123)

a = 2.951 Å, b = 2.951 Å, c = 7.543 Å
α = 90.00°, β = 90.00°, γ = 90.00°
Fractional coordinates of all 4 atoms:
Ir1 0.000 0.000 0.768
Ir2 0.000 0.000 0.232
Zr1 0.500 0.500 0.500
Ta1 0.500 0.500 0.000